[1]
Density functional theory data (GGA-PBE) for crystalline Tm5Cd4Pd at its relaxed geometry.

Summary:
Size of the total moment ... 0.0 μB/f.u.

Cell and atoms, written as CIF:
```
data_Tm5Cd4Pd
_chemical_formula_sum 'Tm5 Cd4 Pd1'
_cell_length_a 3.630
_cell_length_b 3.630
_cell_length_c 18.393
_cell_angle_alpha 90.00
_cell_angle_beta 90.00
_cell_angle_gamma 90.00
_space_group_name_H-M_alt 'P 4/m m m'
_space_group_IT_number 123
_space_group_name_Hall '-P 4 2'
loop_
_atom_site_label
_atom_site_fract_x
_atom_site_fract_y
_atom_site_fract_z
Tm1 0.000 0.000 0.000
Tm2 0.000 0.000 0.206
Tm3 0.000 0.000 0.412
Cd1 0.500 0.500 0.103
Cd2 0.500 0.500 0.306
Pd1 0.500 0.500 0.500
```


[2]
Density functional theory data (GGA-PBE) for crystalline Li4Hg2Au5 at its relaxed geometry.

Summary:
Size of the total moment ... 0.0 μB/f.u.

Cell and atoms, written as CIF:
```
data_Li4Hg2Au5
_chemical_formula_sum 'Li8 Hg4 Au10'
_cell_length_a 20.991
_cell_length_b 2.861
_cell_length_c 6.713
_cell_angle_alpha 90.00
_cell_angle_beta 91.39
_cell_angle_gamma 90.00
_space_group_name_H-M_alt 'C 1 2/m 1'
_space_group_IT_number 12
_space_group_name_Hall '-C 2y'
loop_
_atom_site_label
_atom_site_fract_x
_atom_site_fract_y
_atom_site_fract_z
Li1 0.041 0.000 0.331
Li2 0.136 0.500 0.039
Hg1 0.225 0.000 0.782
Au1 0.000 0.500 0.000
Au2 0.082 0.000 0.722
Au3 0.161 0.000 0.378
```


[3]
Density functional theory data (GGA-PBE) for crystalline Cd2FePt at its relaxed geometry.

Summary:
Size of the total moment ... 2.8 μB/f.u.

Cell and atoms, written as CIF:
```
data_Cd2FePt
_chemical_formula_sum 'Cd6 Fe3 Pt3'
_cell_length_a 2.9239
_cell_length_b 2.9239
_cell_length_c 27.7370
_cell_angle_alpha 90.00
_cell_angle_beta 90.00
_cell_angle_gamma 120.00
_space_group_name_H-M_alt 'R -3 m'
_space_group_IT_number 166
_space_group_name_Hall '-R 3 2"'
loop_
_atom_site_label
_atom_site_fract_x
_atom_site_fract_y
_atom_site_fract_z
Cd1 0.0000 0.0000 0.2482
Fe1 0.0000 0.0000 0.5000
Pt1 0.0000 0.0000 0.0000
```


[4]
Density functional theory data (GGA-PBE) for crystalline Nd5Ho2ErTh at its relaxed geometry.

Summary:
Size of the total moment ... 0.0 μB/f.u.

Cell and atoms, written as CIF:
```
data_Nd5Ho2ErTh
_chemical_formula_sum 'Nd20 Ho8 Er4 Th4'
_cell_length_a 5.413
_cell_length_b 21.673
_cell_length_c 10.603
_cell_angle_alpha 90.00
_cell_angle_beta 90.00
_cell_angle_gamma 90.00
_space_group_name_H-M_alt 'C m c 21'
_space_group_IT_number 36
_space_group_name_Hall 'C 2c -2'
loop_
_atom_site_label
_atom_site_fract_x
_atom_site_fract_y
_atom_site_fract_z
Nd1 0.000 0.000 0.000
Nd2 0.000 0.126 0.250
Nd3 0.000 0.222 0.557
Nd4 0.000 0.222 0.943
Nd5 0.000 0.498 0.750
Ho1 0.000 0.387 0.003
Ho2 0.000 0.387 0.497
Er1 0.000 0.102 0.750
Th1 0.000 0.288 0.250
```


Number 1: E_form -0.4344 eV per atom, DFT total energy -3.555 eV/atom. Number 2: E_form -0.2882 eV per atom, DFT total energy -2.529 eV/atom. Number 3: E_form 0.1093 eV per atom, DFT total energy -3.974 eV/atom. Number 4: E_form 0.1417 eV per atom, DFT total energy -4.856 eV/atom.